Entry from Alexandria: a geometry-optimized Tm2Th3Sc structure (PBE-GGA).

a b c (Å): 6.0568 7.0092 8.5697
angles (deg): 90.00 90.53 90.00
Closest atoms and distances in Å follow each position.
Space group P2_1/m (No. 11)
Asymmetric unit:
Tm1 0.0020 0.2500 0.4967 (multiplicity 2)  1 Sc 3.47, 8 Th 3.49-3.53, 3 Tm 3.51-3.56
Tm2 0.3363 0.7500 0.1657 (multiplicity 2)  8 Th 3.47-3.52, 3 Sc 3.50-3.51, 1 Tm 3.56
Th1 0.1667 0.5005 0.8360 (multiplicity 4)  5 Tm 3.47-3.53, 4 Th 3.48-3.53, 3 Sc 3.49-3.50
Th2 0.5000 0.0000 0.5000 (multiplicity 2)  2 Sc 3.48, 6 Tm 3.49-3.51, 4 Th 3.50-3.53
Sc1 0.3347 0.2500 0.1687 (multiplicity 2)  4 Tm 3.47-3.51, 8 Th 3.48-3.50

## Properties
- DOS(E_F): 1.1884 states/eV per atom
- Total DFT energy (no corrections): -6.219 eV per atom